[1]
DFT (GGA-PBE) results for a geometry-optimized NdTlSb2 structure.

a = 5.007 Å, b = 5.007 Å, c = 4.547 Å
α = 90.00°, β = 90.00°, γ = 90.00°
Space group P4/mmm (No. 123)
Unique sites:
Nd 0.000 0.000 0.000 x1
Tl 0.500 0.500 0.000 x1
Sb 0.000 0.500 0.500 x2

Summary:
Formation energy (no corrections) (meV per atom): -484
E (eV/cell): -17.31
DOS at the Fermi energy (states/eV per atom): 0.49
M_tot (Bohr magnetons per cell): 0.00


[2]
DFT (GGA-PBE) results for a geometry-optimized Nd7Tl2Sb2 structure.

a = 8.616 Å, b = 11.427 Å, c = 7.722 Å
α = 90.00°, β = 90.00°, γ = 90.00°
Space group Cmmm (No. 65)
Unique sites:
Nd 0.000 0.000 0.000 x2
Nd 0.000 0.500 0.263 x4
Nd 0.250 0.250 0.281 x8
Tl 0.175 0.000 0.500 x4
Sb 0.000 0.280 0.000 x4

Summary:
Formation energy (no corrections) (meV per atom): -350
E (eV/cell): -100.40
DOS at the Fermi energy (states/eV per atom): 1.29
M_tot (Bohr magnetons per cell): 0.00